Entry 1:
HoAsPt, optimized geometry, DFT PBEsol; E_form = -1212.9 meV per atom
1.0
4.238 0.000 0.000
-2.119 3.670 0.000
0.000 0.000 7.522
As Pt Ho
2 2 2
Direct
0.333 0.667 0.250
0.667 0.333 0.750
0.667 0.333 0.250
0.333 0.667 0.750
0.000 0.000 0.000
0.000 0.000 0.500

=====

Entry 2:
HoAsS, optimized geometry, DFT PBEsol; energy relative to the elements, uncorrected = -1.53 eV per atom
1.0
-2.310 2.895 0.268
-1.770 -0.799 -6.629
-6.907 -5.748 2.536
Ho S As
4 4 4
Direct
0.750 0.294 0.160
0.250 0.706 0.840
0.250 0.206 0.660
0.750 0.794 0.340
0.750 0.912 0.659
0.250 0.088 0.341
0.250 0.588 0.159
0.750 0.412 0.841
0.250 0.606 0.542
0.750 0.894 0.042
0.750 0.394 0.458
0.250 0.106 0.958

=====

Entry 3:
HoAsS, optimized geometry, DFT PBEsol; energy relative to the elements, uncorrected = -1.63 eV per atom
1.0
3.759 0.000 0.000
0.000 3.759 0.000
0.000 0.000 8.340
Ho As S
2 2 2
Direct
0.500 0.000 0.291
0.000 0.500 0.709
0.500 0.500 0.000
0.000 0.000 0.000
0.000 0.500 0.374
0.500 0.000 0.626

=====

Entry 4:
InAs3I, optimized geometry, DFT PBEsol; energy relative to the elements, uncorrected = 0.92 eV per atom
1.0
5.187 0.000 0.000
0.000 5.187 0.000
0.000 0.000 5.187
I As In
1 3 1
Direct
0.500 0.500 0.500
0.000 0.500 0.000
0.500 0.000 0.000
0.000 0.000 0.500
0.000 0.000 0.000

=====

Entry 5:
InAsI2O, optimized geometry, DFT PBEsol; energy relative to the elements, uncorrected = 0.05 eV per atom
1.0
3.873 0.000 0.000
0.000 5.844 0.000
0.000 0.000 5.844
In As I O
1 1 2 1
Direct
0.000 0.000 0.000
0.500 0.500 0.500
0.000 0.500 0.000
0.000 0.000 0.500
0.500 0.000 0.000

=====

Entry 6:
Rb2InAsI6, optimized geometry, DFT PBEsol; energy relative to the elements, uncorrected = -0.75 eV per atom
1.0
8.376 0.000 0.000
4.188 7.254 0.000
4.188 2.418 6.839
Rb As I In
2 1 6 1
Direct
0.250 0.250 0.250
0.750 0.750 0.750
0.000 0.000 0.000
0.759 0.241 0.759
0.759 0.759 0.241
0.759 0.241 0.241
0.241 0.241 0.759
0.241 0.759 0.241
0.241 0.759 0.759
0.500 0.500 0.500

=====

Entry 7:
InSb2AsI, optimized geometry, DFT PBEsol; energy relative to the elements, uncorrected = 0.93 eV per atom
1.0
-2.950 2.932 -3.577
3.158 -1.900 -4.163
-3.464 -4.298 -0.666
I Sb As In
1 2 1 1
Direct
0.500 0.000 0.000
0.000 0.000 0.500
0.000 0.500 0.000
0.500 0.500 0.500
0.000 0.000 0.000

=====

Entry 8:
AsIr2I, optimized geometry, DFT PBEsol; energy relative to the elements, uncorrected = 0.49 eV per atom
1.0
-3.452 -2.244 -2.221
-0.127 -3.190 3.420
-3.248 6.843 3.062
I Ir As
2 4 2
Direct
0.250 0.750 0.500
0.000 0.000 0.000
0.442 0.875 0.250
0.625 0.558 0.750
0.808 0.375 0.250
0.125 0.192 0.750
0.750 0.250 0.500
0.500 0.500 0.000